Run w
The following is a DFT calculation (PBE) of PaInSb2 after structural relaxation.

Lattice parameters (Å, degrees): 4.952 4.952 4.124 90.00 90.00 90.00
Atoms (fractional coordinates):
Pa: 0.000 0.000 0.000
In: 0.500 0.500 0.000
Sb: 0.000 0.500 0.500
Sb: 0.500 0.000 0.500

***

Run x
The following is a DFT calculation (PBE) of PaInSb2 after structural relaxation.

Lattice parameters (Å, degrees): 4.012 4.012 6.623 90.00 90.00 90.00
Atoms (fractional coordinates):
Pa: 0.000 0.000 0.000
In: 0.000 0.000 0.500
Sb: 0.500 0.500 0.232
Sb: 0.500 0.500 0.768

***

Run y
The following is a DFT calculation (PBE) of PaInSb2 after structural relaxation.

Lattice parameters (Å, degrees): 7.335 7.335 7.335 36.79 36.79 36.79
Atoms (fractional coordinates):
Pa: 0.000 0.000 0.000
In: 0.834 0.834 0.834
Sb: 0.415 0.415 0.415
Sb: 0.600 0.600 0.600

***

Ordering by calculated energy gives the sequence run w, run x, run y, with the first entry being the most stable.

***

Run w
The following is a DFT calculation (PBE) of PaIn2Sb after structural relaxation.

Lattice parameters (Å, degrees): 12.224 12.224 12.224 15.27 15.27 15.27
Atoms (fractional coordinates):
Pa: 0.000 0.000 0.000
In: 0.089 0.089 0.089
In: 0.911 0.911 0.911
Sb: 0.500 0.500 0.500

***

Run x
The following is a DFT calculation (PBE) of PaIn2Sb after structural relaxation.

Lattice parameters (Å, degrees): 4.488 4.488 4.975 90.00 90.00 90.00
Atoms (fractional coordinates):
Pa: 0.000 0.000 0.000
In: 0.000 0.500 0.500
In: 0.500 0.000 0.500
Sb: 0.500 0.500 0.000

***

Ordering by calculated energy gives the sequence run x, run w, with the first entry being the most stable.

***

Run w
The following is a DFT calculation (PBE) of Pa2InSb after structural relaxation.

Lattice parameters (Å, degrees): 3.541 3.541 8.272 90.00 90.00 90.00
Atoms (fractional coordinates):
Pa: 0.000 0.000 0.235
Pa: 0.000 0.000 0.765
In: 0.500 0.500 0.500
Sb: 0.500 0.500 0.000

***

Run x
The following is a DFT calculation (PBE) of Pa2InSb after structural relaxation.

Lattice parameters (Å, degrees): 4.779 4.779 4.485 90.00 90.00 90.00
Atoms (fractional coordinates):
Pa: 0.000 0.500 0.000
Pa: 0.500 0.000 0.000
In: 0.000 0.000 0.500
Sb: 0.500 0.500 0.500

***

Ordering by calculated energy gives the sequence run w, run x, with the first entry being the most stable.

***

Run w
The following is a DFT calculation (PBE) of ScPaIn after structural relaxation.

Lattice parameters (Å, degrees): 7.626 7.626 7.626 156.23 156.23 33.86
Atoms (fractional coordinates):
Sc: 0.000 0.000 0.000
Pa: 0.331 0.331 0.000
In: 0.657 0.657 0.000

***

Run x
The following is a DFT calculation (PBE) of ScPaIn after structural relaxation.

Lattice parameters (Å, degrees): 5.216 5.216 3.029 90.00 90.00 120.00
Atoms (fractional coordinates):
Sc: 0.000 0.000 0.000
Pa: 0.667 0.333 0.996
In: 0.333 0.667 0.496

***

Run y
The following is a DFT calculation (PBE) of ScPaIn after structural relaxation.

Lattice parameters (Å, degrees): 3.207 5.022 5.187 90.00 90.00 90.00
Atoms (fractional coordinates):
Sc: 0.000 0.000 0.000
Pa: 0.500 0.000 0.500
In: 0.500 0.500 0.000

***

Ordering by calculated energy gives the sequence run w, run x, run y, with the first entry being the most stable.

***

Run w
The following is a DFT calculation (PBE) of Pa4InSe8 after structural relaxation.

Lattice parameters (Å, degrees): 8.550 8.550 8.550 60.00 60.00 60.00
Atoms (fractional coordinates):
Pa: 0.123 0.123 0.123
Pa: 0.123 0.123 0.631
Pa: 0.123 0.631 0.123
Pa: 0.631 0.123 0.123
In: 0.500 0.500 0.500
Se: 0.343 0.886 0.886
Se: 0.361 0.361 0.361
Se: 0.361 0.361 0.918
Se: 0.361 0.918 0.361
Se: 0.886 0.343 0.886
Se: 0.886 0.886 0.343
Se: 0.886 0.886 0.886
Se: 0.918 0.361 0.361

***

Run x
The following is a DFT calculation (PBE) of Pa4InSe8 after structural relaxation.

Lattice parameters (Å, degrees): 9.085 9.085 13.038 124.37 124.37 26.60
Atoms (fractional coordinates):
Pa: 0.000 0.000 0.000
Pa: 0.267 0.267 0.661
Pa: 0.500 0.500 0.495
Pa: 0.731 0.731 0.323
In: 0.683 0.683 0.933
Se: 0.102 0.102 0.676
Se: 0.194 0.194 0.140
Se: 0.343 0.343 0.511
Se: 0.477 0.477 0.835
Se: 0.523 0.523 0.160
Se: 0.654 0.654 0.476
Se: 0.807 0.807 0.839
Se: 0.899 0.899 0.321

***

Ordering by calculated energy gives the sequence run x, run w, with the first entry being the most stable.

***

Run w
The following is a DFT calculation (PBE) of Pa2InSe6 after structural relaxation.

Lattice parameters (Å, degrees): 7.036 7.036 8.862 93.94 93.94 32.99
Atoms (fractional coordinates):
Pa: 0.238 0.238 0.231
Pa: 0.762 0.762 0.769
In: 0.500 0.500 0.500
Se: 0.153 0.153 0.918
Se: 0.161 0.161 0.550
Se: 0.411 0.411 0.777
Se: 0.589 0.589 0.223
Se: 0.839 0.839 0.450
Se: 0.847 0.847 0.082

***

Run x
The following is a DFT calculation (PBE) of Pa2InSe6 after structural relaxation.

Lattice parameters (Å, degrees): 6.703 7.173 11.318 90.00 120.09 90.00
Atoms (fractional coordinates):
Pa: 0.168 0.125 0.227
Pa: 0.168 0.375 0.727
Pa: 0.832 0.625 0.273
Pa: 0.832 0.875 0.773
In: 0.500 0.000 0.000
In: 0.500 0.500 0.500
Se: 0.099 0.187 0.939
Se: 0.099 0.313 0.439
Se: 0.239 0.663 0.920
Se: 0.239 0.837 0.420
Se: 0.431 0.061 0.745
Se: 0.431 0.439 0.245
Se: 0.569 0.561 0.755
Se: 0.569 0.939 0.255
Se: 0.761 0.163 0.580
Se: 0.761 0.337 0.080
Se: 0.901 0.687 0.561
Se: 0.901 0.813 0.061

***

Ordering by calculated energy gives the sequence run w, run x, with the first entry being the most stable.